! Zr3Al3Ni2, optimized geometry, DFT PBE-GGA; values from VASP
! final energy: -6.5583 eV per atom
! ρ: 5.59 g/cm³
! ΔH_f (0 K): -504 meV per atom
&SYSTEM
  ibrav = 0, nat = 8, ntyp = 3
/
ATOMIC_SPECIES
Zr 91.22 Zr.upf
Al 26.98 Al.upf
Ni 58.69 Ni.upf
CELL_PARAMETERS angstrom
6.943 0.000 0.000
-3.472 6.013 0.000
0.000 0.000 3.356
ATOMIC_POSITIONS angstrom
Zr -1.438 2.491 0.000
Zr 2.877 0.000 0.000
Zr 2.033 3.522 0.000
Al -2.662 4.611 1.678
Al 0.809 1.402 1.678
Al 5.325 0.000 1.678
Ni 0.000 4.009 1.678
Ni 3.472 2.004 1.678

---

! Sb2MoCl, optimized geometry, DFT PBE-GGA; values from VASP
! final energy: -5.0425 eV per atom
! ρ: 5.88 g/cm³
! E_form (uncorrected): 0.188 eV/atom
&SYSTEM
  ibrav = 0, nat = 4, ntyp = 3
/
ATOMIC_SPECIES
Sb 121.76 Sb.upf
Mo 95.94 Mo.upf
Cl 35.45 Cl.upf
CELL_PARAMETERS angstrom
3.075 0.000 0.000
0.000 3.075 0.000
0.000 0.000 11.199
ATOMIC_POSITIONS angstrom
Sb 0.000 0.000 0.000
Sb 1.538 1.538 3.867
Mo 1.538 1.538 9.284
Cl 0.000 0.000 7.805

---

! BaNaNb2, optimized geometry, DFT PBE-GGA; values from VASP
! final energy: -5.5448 eV per atom
! ρ: 4.65 g/cm³
! ΔH_f (0 K): 301 meV per atom
&SYSTEM
  ibrav = 0, nat = 8, ntyp = 3
/
ATOMIC_SPECIES
Ba 137.33 Ba.upf
Na 22.99 Na.upf
Nb 92.91 Nb.upf
CELL_PARAMETERS angstrom
3.662 0.000 0.000
0.000 3.662 0.000
-0.014 0.000 18.443
ATOMIC_POSITIONS angstrom
Ba 0.902 0.915 4.732
Ba 2.745 2.746 13.711
Na 0.908 0.915 17.055
Na 2.739 2.746 1.388
Nb 0.909 0.915 8.389
Nb 0.909 0.915 11.155
Nb 2.738 2.746 7.288
Nb 2.739 2.746 10.054

---

! AsSe2Br, optimized geometry, DFT PBE-GGA; values from VASP
! final energy: -3.4748 eV per atom
! ρ: 3.53 g/cm³
! E_form (uncorrected): -0.152 eV/atom
&SYSTEM
  ibrav = 0, nat = 4, ntyp = 3
/
ATOMIC_SPECIES
As 74.92 As.upf
Se 78.96 Se.upf
Br 79.90 Br.upf
CELL_PARAMETERS angstrom
4.813 0.000 0.000
2.282 5.187 0.000
0.791 1.824 5.891
ATOMIC_POSITIONS angstrom
As 0.000 0.000 0.000
Se 4.170 4.737 1.580
Se 3.402 1.340 1.472
Br 1.821 3.439 4.480

---

! AlOs2W, optimized geometry, DFT PBE-GGA; values from VASP
! final energy: -9.7599 eV per atom
! ρ: 16.66 g/cm³
! ΔH_f (0 K): 29 meV per atom
&SYSTEM
  ibrav = 0, nat = 4, ntyp = 3
/
ATOMIC_SPECIES
Al 26.98 Al.upf
Os 190.23 Os.upf
W 183.84 W.upf
CELL_PARAMETERS angstrom
2.774 0.000 0.000
0.000 4.048 0.000
-1.254 0.000 5.250
ATOMIC_POSITIONS angstrom
Al 0.000 0.000 0.000
Os 0.821 2.024 1.244
Os 0.699 2.024 4.006
W -0.627 0.000 2.625

---

! MnAlOs2, optimized geometry, DFT PBE-GGA; values from VASP
! final energy: -8.8969 eV per atom
! ρ: 14.02 g/cm³
! ΔH_f (0 K): -54 meV per atom
&SYSTEM
  ibrav = 0, nat = 4, ntyp = 3
/
ATOMIC_SPECIES
Mn 54.94 Mn.upf
Al 26.98 Al.upf
Os 190.23 Os.upf
CELL_PARAMETERS angstrom
1.369 0.790 8.436
-1.369 0.790 8.436
0.000 -1.581 8.436
ATOMIC_POSITIONS angstrom
Mn 0.000 0.000 0.000
Al 0.000 0.000 12.654
Os 0.000 0.000 6.379
Os 0.000 0.000 18.928

---

! Li3MgSn3, optimized geometry, DFT PBE-GGA; values from VASP
! final energy: -2.9199 eV per atom
! ρ: 3.79 g/cm³
! ΔH_f (0 K): -156 meV per atom
&SYSTEM
  ibrav = 0, nat = 14, ntyp = 3
/
ATOMIC_SPECIES
Li 6.94 Li.upf
Mg 24.30 Mg.upf
Sn 118.71 Sn.upf
CELL_PARAMETERS angstrom
4.229 -5.943 0.000
4.229 5.943 0.000
-0.299 0.000 7.004
ATOMIC_POSITIONS angstrom
Li 4.229 4.647 0.000
Li 4.080 3.256 3.502
Li 3.172 0.000 5.874
Li 4.988 0.000 1.130
Li 4.080 -3.256 3.502
Li 4.229 -4.647 0.000
Mg 1.988 0.000 2.206
Mg 6.172 0.000 4.799
Sn 0.672 0.000 4.760
Sn 3.060 2.378 0.947
Sn 5.100 2.378 6.057
Sn 3.060 -2.378 0.947
Sn 5.100 -2.378 6.057
Sn 7.488 0.000 2.245

---

! VTe2ICl, optimized geometry, DFT PBE-GGA; values from VASP
! final energy: -3.6849 eV per atom
! ρ: 5.44 g/cm³
! E_form (uncorrected): 0.075 eV/atom
&SYSTEM
  ibrav = 0, nat = 5, ntyp = 4
/
ATOMIC_SPECIES
V 50.94 V.upf
Te 127.60 Te.upf
I 126.90 I.upf
Cl 35.45 Cl.upf
CELL_PARAMETERS angstrom
5.153 0.000 0.000
0.000 5.153 0.000
0.000 0.000 5.385
ATOMIC_POSITIONS angstrom
V 0.000 0.000 0.000
Te 0.000 2.576 0.000
Te 2.576 0.000 0.000
I 0.000 0.000 2.693
Cl 2.576 2.576 2.693

---

! LaNdGaNi, optimized geometry, DFT PBE-GGA; values from VASP
! final energy: -4.9518 eV per atom
! ρ: 7.02 g/cm³
! ΔH_f (0 K): -326 meV per atom
&SYSTEM
  ibrav = 0, nat = 4, ntyp = 4
/
ATOMIC_SPECIES
La 138.91 La.upf
Nd 144.24 Nd.upf
Ga 69.72 Ga.upf
Ni 58.69 Ni.upf
CELL_PARAMETERS angstrom
0.000 3.651 3.651
3.651 0.000 3.651
3.651 3.651 0.000
ATOMIC_POSITIONS angstrom
La 0.000 0.000 0.000
Nd 3.651 3.651 3.651
Ga 1.825 1.825 1.825
Ni 5.476 5.476 5.476

---

! GaBrO2, optimized geometry, DFT PBE-GGA; values from VASP
! final energy: -3.0674 eV per atom
! ρ: 5.88 g/cm³
! E_form (uncorrected): 0.587 eV/atom
&SYSTEM
  ibrav = 0, nat = 4, ntyp = 3
/
ATOMIC_SPECIES
Ga 69.72 Ga.upf
Br 79.90 Br.upf
O 16.00 O.upf
CELL_PARAMETERS angstrom
0.000 2.950 2.950
2.950 0.000 2.950
2.950 2.950 0.000
ATOMIC_POSITIONS angstrom
Ga 0.000 0.000 0.000
Br 2.950 2.950 2.950
O 1.475 1.475 1.475
O 4.425 4.425 4.425

---

! MgAl2Os, optimized geometry, DFT PBE-GGA; values from VASP
! final energy: -5.0768 eV per atom
! ρ: 7.36 g/cm³
! ΔH_f (0 K): 1 meV per atom
&SYSTEM
  ibrav = 0, nat = 4, ntyp = 3
/
ATOMIC_SPECIES
Mg 24.30 Mg.upf
Al 26.98 Al.upf
Os 190.23 Os.upf
CELL_PARAMETERS angstrom
0.000 3.117 3.117
3.117 0.000 3.117
3.117 3.117 0.000
ATOMIC_POSITIONS angstrom
Mg 0.000 0.000 0.000
Al 1.558 1.558 1.558
Al 3.117 3.117 3.117
Os 4.675 4.675 4.675

---

! GaGe2Rh2, optimized geometry, DFT PBE-GGA; values from VASP
! final energy: -5.7414 eV per atom
! ρ: 8.28 g/cm³
! ΔH_f (0 K): -348 meV per atom
&SYSTEM
  ibrav = 0, nat = 5, ntyp = 3
/
ATOMIC_SPECIES
Ga 69.72 Ga.upf
Ge 72.64 Ge.upf
Rh 102.91 Rh.upf
CELL_PARAMETERS angstrom
4.050 0.000 0.000
2.024 4.443 0.000
0.009 2.032 4.693
ATOMIC_POSITIONS angstrom
Ga 0.000 0.000 0.000
Ge 2.026 2.231 1.917
Ge 4.057 4.244 2.776
Rh 2.034 3.464 4.098
Rh 4.049 3.010 0.595

---

! TeAsCSe2, optimized geometry, DFT PBE-GGA; values from VASP
! final energy: -2.7079 eV per atom
! ρ: 3.92 g/cm³
! E_form (uncorrected): 2.089 eV/atom
&SYSTEM
  ibrav = 0, nat = 5, ntyp = 4
/
ATOMIC_SPECIES
Te 127.60 Te.upf
As 74.92 As.upf
C 12.01 C.upf
Se 78.96 Se.upf
CELL_PARAMETERS angstrom
5.361 0.000 0.000
0.000 5.361 0.000
0.000 0.000 5.490
ATOMIC_POSITIONS angstrom
Te 0.000 0.000 0.000
As 0.000 0.000 2.745
C 2.680 2.680 2.745
Se 0.000 2.680 0.000
Se 2.680 0.000 0.000

---

! K2YRh, optimized geometry, DFT PBE-GGA; values from VASP
! final energy: -4.0564 eV per atom
! ρ: 2.81 g/cm³
! ΔH_f (0 K): -54 meV per atom
&SYSTEM
  ibrav = 0, nat = 4, ntyp = 3
/
ATOMIC_SPECIES
K 39.10 K.upf
Y 88.91 Y.upf
Rh 102.91 Rh.upf
CELL_PARAMETERS angstrom
4.057 0.000 0.000
0.000 3.730 0.000
-1.992 0.000 10.534
ATOMIC_POSITIONS angstrom
K 0.000 0.000 0.000
K 0.019 1.865 6.514
Y 2.031 1.865 3.179
Rh 0.002 0.000 3.431

---

! HoCrRu, optimized geometry, DFT PBE-GGA; values from VASP
! final energy: -7.4010 eV per atom
! ρ: 8.24 g/cm³
! ΔH_f (0 K): 425 meV per atom
&SYSTEM
  ibrav = 0, nat = 12, ntyp = 3
/
ATOMIC_SPECIES
Ho 164.93 Ho.upf
Cr 52.00 Cr.upf
Ru 101.07 Ru.upf
CELL_PARAMETERS angstrom
6.758 0.000 0.000
0.000 6.758 0.000
0.000 0.000 5.611
ATOMIC_POSITIONS angstrom
Ho 1.554 1.554 0.000
Ho 1.825 4.933 1.403
Ho 4.933 1.825 4.208
Ho 5.204 5.204 2.806
Cr 0.489 0.489 2.806
Cr 2.890 3.868 4.208
Cr 3.868 2.890 1.403
Cr 6.269 6.269 0.000
Ru 1.228 5.530 4.208
Ru 2.151 2.151 2.806
Ru 4.607 4.607 0.000
Ru 5.530 1.228 1.403

---

! MgURuPt, optimized geometry, DFT PBE-GGA; values from VASP
! final energy: -7.4499 eV per atom
! ρ: 12.69 g/cm³
! ΔH_f (0 K): -400 meV per atom
&SYSTEM
  ibrav = 0, nat = 4, ntyp = 4
/
ATOMIC_SPECIES
Mg 24.30 Mg.upf
U 238.03 U.upf
Ru 101.07 Ru.upf
Pt 195.08 Pt.upf
CELL_PARAMETERS angstrom
0.000 3.318 3.318
3.318 0.000 3.318
3.318 3.318 0.000
ATOMIC_POSITIONS angstrom
Mg 0.000 0.000 0.000
U 3.318 3.318 3.318
Ru 1.659 1.659 1.659
Pt 4.977 4.977 4.977

---

! CrFeI2, optimized geometry, DFT PBE-GGA; values from VASP
! final energy: -4.8832 eV per atom
! ρ: 4.99 g/cm³
! E_form (uncorrected): 0.413 eV/atom
&SYSTEM
  ibrav = 0, nat = 8, ntyp = 3
/
ATOMIC_SPECIES
Cr 52.00 Cr.upf
Fe 55.84 Fe.upf
I 126.90 I.upf
CELL_PARAMETERS angstrom
-3.108 3.108 6.233
3.108 -3.108 6.233
3.108 3.108 -6.233
ATOMIC_POSITIONS angstrom
Cr 0.000 0.000 0.000
Cr 0.000 3.108 3.116
Fe 3.108 0.000 3.116
Fe 0.000 0.000 6.233
I 1.554 -1.416 4.674
I 1.693 1.554 1.558
I 1.554 4.524 -1.558
I 1.416 1.554 7.791

---

! Zn3Pd12Au, optimized geometry, DFT PBE-GGA; values from VASP
! final energy: -4.5742 eV per atom
! ρ: 11.38 g/cm³
! ΔH_f (0 K): -236 meV per atom
&SYSTEM
  ibrav = 0, nat = 16, ntyp = 3
/
ATOMIC_SPECIES
Zn 65.41 Zn.upf
Pd 106.42 Pd.upf
Au 196.97 Au.upf
CELL_PARAMETERS angstrom
3.941 0.000 0.000
0.000 3.941 0.000
0.000 0.000 15.695
ATOMIC_POSITIONS angstrom
Zn 0.000 0.000 0.000
Zn 0.000 0.000 3.860
Zn 0.000 0.000 11.835
Pd 0.000 1.970 1.937
Pd 0.000 1.970 5.794
Pd 0.000 1.970 9.901
Pd 0.000 1.970 13.759
Pd 1.970 0.000 1.937
Pd 1.970 0.000 5.794
Pd 1.970 0.000 9.901
Pd 1.970 0.000 13.759
Pd 1.970 1.970 0.000
Pd 1.970 1.970 3.873
Pd 1.970 1.970 7.848
Pd 1.970 1.970 11.822
Au 0.000 0.000 7.848

---

! CeHo12Tm7, optimized geometry, DFT PBE-GGA; values from VASP
! final energy: -3.8606 eV per atom
! ρ: 7.65 g/cm³
! ΔH_f (0 K): 748 meV per atom
&SYSTEM
  ibrav = 0, nat = 20, ntyp = 3
/
ATOMIC_SPECIES
Ce 140.12 Ce.upf
Ho 164.93 Ho.upf
Tm 168.93 Tm.upf
CELL_PARAMETERS angstrom
-5.637 5.637 5.637
5.637 -5.637 5.637
5.637 5.637 -5.637
ATOMIC_POSITIONS angstrom
Ce 0.000 0.000 0.000
Ho 5.637 2.680 -2.680
Ho 5.637 -2.680 2.680
Ho 2.680 5.637 -2.680
Ho 2.956 2.956 0.000
Ho 2.956 0.000 2.956
Ho 2.680 -2.680 5.637
Ho 5.637 2.680 2.680
Ho 0.000 2.956 2.956
Ho -2.680 5.637 2.680
Ho -2.680 2.680 5.637
Ho 2.680 5.637 2.680
Ho 2.680 2.680 5.637
Tm 2.818 2.818 -2.818
Tm 2.818 -2.818 2.818
Tm 5.637 0.000 0.000
Tm -2.818 2.818 2.818
Tm 0.000 5.637 0.000
Tm 0.000 0.000 5.637
Tm 2.818 2.818 2.818

---

! K2RbU3Se8, optimized geometry, DFT PBE-GGA; values from VASP
! final energy: -5.8319 eV per atom
! ρ: 4.89 g/cm³
! E_form (uncorrected): -1.196 eV/atom
&SYSTEM
  ibrav = 0, nat = 14, ntyp = 4
/
ATOMIC_SPECIES
K 39.10 K.upf
Rb 85.47 Rb.upf
U 238.03 U.upf
Se 78.96 Se.upf
CELL_PARAMETERS angstrom
4.288 2.475 8.041
-4.288 2.475 8.041
0.000 -4.951 8.041
ATOMIC_POSITIONS angstrom
K 0.000 0.000 0.000
K 0.000 0.000 8.890
Rb 0.000 0.000 15.302
U 0.000 -2.471 4.017
U -2.140 1.235 4.017
U 2.140 1.235 4.017
Se -2.374 -1.371 13.537
Se 0.000 0.000 5.545
Se 0.000 -2.716 10.566
Se -2.352 1.358 10.566
Se 2.374 -1.371 13.537
Se 0.000 2.741 13.537
Se 0.000 0.000 18.620
Se 2.352 1.358 10.566